[1]
CePrHo: optimized geometry, GGA-PBE.

SG: P3m1, No. 156
Formation energy from the elements in meV per atom: 78

abc: 3.556 3.556 8.767
angles: 90.00 90.00 120.00
Fractional positions:
Ce 0.000 0.000 0.000
Pr 0.667 0.333 0.333
Ho 0.333 0.667 0.680



[2]
Al4InCl: optimized geometry, GGA-PBE.

SG: F-43m, No. 216
Formation energy (no corrections) in eV per atom: 0.1192

abc: 5.620 5.620 5.620
angles: 60.00 60.00 60.00
Fractional positions:
Al 0.125 0.125 0.125
Al 0.125 0.125 0.626
Al 0.125 0.626 0.125
Al 0.626 0.125 0.125
In 0.500 0.500 0.500
Cl 0.750 0.750 0.750



[3]
Ac6CoRh2Br3: optimized geometry, GGA-PBE.

SG: C2/m, No. 12
Formation energy (no corrections) in eV per atom: -1.0283

abc: 7.451 7.451 8.652
angles: 98.25 98.25 120.01
Fractional positions:
Ac 0.064 0.390 0.193
Ac 0.262 0.262 0.807
Ac 0.390 0.064 0.193
Ac 0.610 0.936 0.807
Ac 0.738 0.738 0.193
Ac 0.936 0.610 0.807
Co 0.000 0.000 0.000
Rh 0.333 0.667 0.000
Rh 0.667 0.333 0.000
Br 0.165 0.835 0.500
Br 0.500 0.500 0.500
Br 0.835 0.165 0.500



[4]
La2CdGaOs: optimized geometry, GGA-PBE.

SG: P4/mmm, No. 123
Formation energy from the elements in meV per atom: -234

abc: 5.545 5.545 4.902
angles: 90.00 90.00 90.00
Fractional positions:
La 0.000 0.500 0.000
La 0.500 0.000 0.000
Cd 0.000 0.000 0.500
Ga 0.500 0.500 0.500
Os 0.500 0.500 0.000



[5]
TbCePaSn: optimized geometry, GGA-PBE.

SG: F-43m, No. 216
Formation energy from the elements in meV per atom: -21

abc: 7.560 7.560 7.560
angles: 90.00 90.00 90.00
Fractional positions:
Tb 0.000 0.000 0.000
Tb 0.000 0.500 0.500
Tb 0.500 0.000 0.500
Tb 0.500 0.500 0.000
Ce 0.000 0.000 0.500
Ce 0.000 0.500 0.000
Ce 0.500 0.000 0.000
Ce 0.500 0.500 0.500
Pa 0.250 0.250 0.250
Pa 0.250 0.750 0.750
Pa 0.750 0.250 0.750
Pa 0.750 0.750 0.250
Sn 0.250 0.250 0.750
Sn 0.250 0.750 0.250
Sn 0.750 0.250 0.250
Sn 0.750 0.750 0.750



[6]
Er2Tm5Th4: optimized geometry, GGA-PBE.

SG: P-1, No. 2
Formation energy from the elements in meV per atom: 23

abc: 3.549 8.571 11.762
angles: 104.65 98.61 90.05
Fractional positions:
Er 0.090 0.221 0.181
Er 0.910 0.779 0.819
Tm 0.000 0.500 0.000
Tm 0.273 0.685 0.545
Tm 0.364 0.405 0.727
Tm 0.636 0.595 0.273
Tm 0.727 0.315 0.455
Th 0.181 0.952 0.364
Th 0.454 0.137 0.909
Th 0.546 0.863 0.091
Th 0.819 0.048 0.636



[7]
GeHSe: optimized geometry, GGA-PBE.

SG: P-1, No. 2
VASP energy in eV/cell: -23.73

abc: 4.032 4.056 9.263
angles: 102.60 102.40 90.00
Fractional positions:
Ge 0.184 0.184 0.367
Ge 0.816 0.816 0.633
H 0.407 0.000 0.000
H 0.593 0.000 0.000
Se 0.325 0.326 0.651
Se 0.675 0.674 0.349



[8]
Ba2InHgS5: optimized geometry, GGA-PBE.

SG: Cmc2_1, No. 36
Formation energy (no corrections) in eV per atom: -1.0214

abc: 9.873 9.873 12.433
angles: 90.00 90.00 155.58
Fractional positions:
Ba 0.115 0.885 0.500
Ba 0.117 0.883 0.123
Ba 0.883 0.117 0.623
Ba 0.885 0.115 0.000
In 0.439 0.561 0.281
In 0.561 0.439 0.781
Hg 0.235 0.765 0.846
Hg 0.765 0.235 0.346
S 0.040 0.960 0.886
S 0.284 0.716 0.486
S 0.312 0.688 0.221
S 0.366 0.634 0.814
S 0.491 0.509 0.102
S 0.509 0.491 0.602
S 0.634 0.366 0.314
S 0.688 0.312 0.721
S 0.716 0.284 0.986
S 0.960 0.040 0.386